# 1
# K2CrCu

K2CrCu after structural relaxation (GGA-PBE, Alexandria via LeMat-Bulk).

## Properties
Its energy of formation from the pure elements is 0.97 eV per atom. As for the offset from the most stable computed form: 366.3 meV/atom.

Lattice parameters (Å, degrees): 4.0382 4.0382 30.8706 90.00 90.00 120.00
Closest atoms and distances in Å follow each position.
Space group R-3m (No. 166, hexagonal axes)
Asymmetric unit:
K 0.0000 0.0000 0.2399 x6  3 Cu 3.25
Cr 0.0000 0.0000 0.0000 x3  6 K 3.71, 6 Cr 4.04
Cu 0.0000 0.0000 0.5000 x3  6 K 3.25


# 2
# K2CrCu

K2CrCu after structural relaxation (GGA-PBE, Alexandria via LeMat-Bulk).

## Properties
Its energy of formation from the pure elements is 0.61 eV per atom. As for the offset from the most stable computed form: 9.4 meV/atom.

Lattice parameters (Å, degrees): 3.4633 3.8186 10.0968 90.00 90.00 90.00
Closest atoms and distances in Å follow each position.
Space group Pmm2 (No. 25)
Asymmetric unit:
K 0.0000 0.0000 0.0000 x1  1 Cr 3.24, 2 K 3.46
K 0.5000 0.5000 0.4093 x1  1 Cu 3.31, 2 K 3.46
Cr 0.0000 0.0000 0.6788 x1  4 Cu 2.64
Cu 0.5000 0.5000 0.7372 x1  4 Cr 2.64


# 3
# KCrCu2

KCrCu2 after structural relaxation (GGA-PBE, Alexandria via LeMat-Bulk).

## Properties
Its energy of formation from the pure elements is 0.85 eV per atom. As for the offset from the most stable computed form: 311.4 meV/atom.

Lattice parameters (Å, degrees): 4.5723 5.5699 7.0659 90.00 90.00 90.00
Closest atoms and distances in Å follow each position.
Space group Immm (No. 71)
Asymmetric unit:
K 0.0000 0.0000 0.0000 x2  8 Cu 3.06-3.21
Cr 0.0000 0.0000 0.5000 x2  4 Cu 2.62
Cu 0.0000 0.5000 0.1811 x4  1 Cu 2.56, 2 Cr 2.62


# 4
# KCrCu2

KCrCu2 after structural relaxation (GGA-PBE, Alexandria via LeMat-Bulk).

## Properties
Its energy of formation from the pure elements is 0.54 eV per atom. As for the offset from the most stable computed form: 0.0 meV/atom.

Lattice parameters (Å, degrees): 3.2462 3.2462 7.5811 90.00 90.00 90.00
Closest atoms and distances in Å follow each position.
Space group P4/mmm (No. 123)
Asymmetric unit:
K 0.0000 0.0000 0.0000 x1  4 K 3.25, 8 Cu 3.42
Cr 0.0000 0.0000 0.5000 x1  8 Cu 2.61
Cu 0.5000 0.5000 0.3350 x2  1 Cu 2.50, 4 Cr 2.61


# 5
# KCrCu

KCrCu after structural relaxation (GGA-PBE, Alexandria via LeMat-Bulk).

## Properties
Its energy of formation from the pure elements is 0.77 eV per atom. As for the offset from the most stable computed form: 90.5 meV/atom.

Lattice parameters (Å, degrees): 8.8020 2.9131 11.0567 90.00 90.00 90.00
Closest atoms and distances in Å follow each position.
Space group Pnma (No. 62)
Asymmetric unit:
K 0.0810 0.2500 0.1739 x4  2 K 2.91
Cr 0.0684 0.2500 0.5374 x4  2 Cr 2.06
Cu 0.2387 0.7500 0.4141 x4  3 Cr 2.50-2.76


# 6
# K2CrCu

K2CrCu after structural relaxation (GGA-PBE, Alexandria via LeMat-Bulk).

## Properties
Its energy of formation from the pure elements is 0.84 eV per atom. As for the offset from the most stable computed form: 237.8 meV/atom.

Lattice parameters (Å, degrees): 5.5236 5.5236 7.7776 90.00 90.00 90.00
Closest atoms and distances in Å follow each position.
Space group I-4m2 (No. 119)
Asymmetric unit:
K 0.0000 0.0000 0.0000 x2  4 Cr 3.38, 4 K 3.38
K 0.0000 0.5000 0.2500 x2  4 K 3.38, 4 Cu 3.38
Cr 0.0000 0.5000 0.7500 x2  4 K 3.38, 4 Cu 3.38
Cu 0.0000 0.0000 0.5000 x2  4 Cr 3.38, 4 K 3.38